DFT (PBE) results for crystalline SrYOs at its relaxed geometry.

Cell lengths 4.8337, 4.8337, 3.8299 Å; angles 90.00, 90.00, 120.00 degrees
Space group P3m1 (No. 156)
Symmetry-distinct sites (fractional):
1 Sr 0.0000 0.0000 0.0000 (multiplicity 1)
2 Y 0.6667 0.3333 0.4533 (multiplicity 1)
3 Os 0.3333 0.6667 0.6307 (multiplicity 1)

Summary:
**DOS at the Fermi energy**: 1.8 states/eV/f.u.
**Energy of formation from the pure elements**: 46 kJ per mole of atoms